[1]
Here is an optimized crystal structure of HoErSn2 from Alexandria via LeMat-Bulk. Energies are from PBE-GGA.

Results
**Magnetization**: 0.0 μB/cell
**E_tot**: -4.892 eV per atom

a b c (Å): 3.4586 3.4586 8.7307
angles (deg): 90.00 90.00 90.00
Space group P4/mmm (No. 123)
One atom of each set of equivalent atoms:
Ho 0.0000 0.0000 0.0000 [1 per cell]
Er 0.0000 0.0000 0.5000 [1 per cell]
Sn 0.5000 0.5000 0.2509 [2 per cell]

---

[2]
Here is an optimized crystal structure of CaY2In3 from Alexandria via LeMat-Bulk. Energies are from PBE-GGA.

Results
**Magnetization**: 0.0 μB/cell
**E_tot**: -4.341 eV per atom

a b c (Å): 3.6685 3.6685 12.1289
angles (deg): 90.00 90.00 90.00
Space group P4/mmm (No. 123)
One atom of each set of equivalent atoms:
Ca 0.0000 0.0000 0.0000 [1 per cell]
Y 0.0000 0.0000 0.3336 [2 per cell]
In 0.5000 0.5000 0.1698 [2 per cell]
In 0.5000 0.5000 0.5000 [1 per cell]

---

Number 1: energy of formation -0.61 eV/atom. Number 2: energy of formation -0.48 eV/atom.